[1]
## KInPBr2 (GGA-PBE)

Data for a relaxed structure of KInPBr2.

a = 5.7943 Å, b = 5.1549 Å, c = 5.7943 Å
α = 90.00°, β = 90.00°, γ = 90.00°
Last column: nearest neighbours and their distance in Å.
Sites, in units of the cell vectors:
P 0.0000 0.0000 0.0000  2 In 2.58
K 0.5000 0.5000 0.5000  8 Br 3.88, 4 In 4.10
Br 0.0000 0.0000 0.5000  2 P 2.90
Br 0.5000 0.0000 0.0000  2 P 2.90
In 0.0000 0.5000 0.0000  2 P 2.58

Computed properties:
DOS at the Fermi energy in states/eV/cell: 1.5
Calculated volume in A^3/atom: 34.615
Energy relative to the elements, uncorrected in eV per atom: -0.35

---

[2]
## KIn2PBr (GGA-PBE)

Data for a relaxed structure of KIn2PBr.

a = 5.1492 Å, b = 9.9496 Å, c = 5.1492 Å
α = 90.00°, β = 90.00°, γ = 90.00°
Last column: nearest neighbours and their distance in Å.
Sites, in units of the cell vectors:
P 0.0000 0.0000 0.0000  4 In 2.57
K 0.5000 0.5000 0.5000  4 Br 3.64
Br 0.0000 0.5000 0.0000  4 K 3.64
In 0.0000 0.0000 0.5000  2 P 2.57
In 0.5000 0.0000 0.0000  2 P 2.57

Computed properties:
DOS at the Fermi energy in states/eV/cell: 1.3
Calculated volume in A^3/atom: 52.761
Energy relative to the elements, uncorrected in eV per atom: -0.25

---

Energy: -2.864 -2.977 (eV/atom)